[1]
TbNdErTm | PBE | relaxed

CIF file:
```
data_TbNdErTm
_cell_length_a 3.5768
_cell_length_b 3.5771
_cell_length_c 11.7043
_cell_angle_alpha 90.00
_cell_angle_beta 98.78
_cell_angle_gamma 120.00
_space_group_name_H-M_alt 'P 1'
_space_group_IT_number 1
loop_
_space_group_symop_operation_xyz
'x,y,z'
loop_
_atom_site_label
_atom_site_type_symbol
_atom_site_fract_x
_atom_site_fract_y
_atom_site_fract_z
_atom_site_occupancy
Tb1 Tb 0.3021 0.5488 0.8671 1
Nd1 Nd 0.9700 0.3832 0.3684 1
Er1 Er 0.4722 0.1338 0.6213 1
Tm1 Tm 0.1337 0.9649 0.1128 1
```

Properties
- DOS(E_F): 1.390 states/eV/atom
- Total moment: 0.000 μB/atom
- Formation energy: 22 meV/atom
- Space group: R3m, No. 160


[2]
Cs3Pd2Br8 | PBE | relaxed

CIF file:
```
data_Cs3Pd2Br8
_cell_length_a 7.7762
_cell_length_b 7.7714
_cell_length_c 11.1723
_cell_angle_alpha 69.67
_cell_angle_beta 69.67
_cell_angle_gamma 60.04
_space_group_name_H-M_alt 'P 1'
_space_group_IT_number 1
loop_
_space_group_symop_operation_xyz
'x,y,z'
loop_
_atom_site_label
_atom_site_type_symbol
_atom_site_fract_x
_atom_site_fract_y
_atom_site_fract_z
_atom_site_occupancy
Cs1 Cs 0.0000 0.0000 0.0000 1
Cs2 Cs 0.2123 0.2124 0.3631 1
Cs3 Cs 0.7877 0.7876 0.6369 1
Pd1 Pd 0.4126 0.4134 0.7596 1
Pd2 Pd 0.5874 0.5866 0.2404 1
Br1 Br 0.3303 0.3324 0.0026 1
Br2 Br 0.6697 0.6676 0.9974 1
Br3 Br 0.2592 0.7939 0.6881 1
Br4 Br 0.7928 0.2592 0.6887 1
Br5 Br 0.2589 0.2585 0.6877 1
Br6 Br 0.2072 0.7408 0.3113 1
Br7 Br 0.7408 0.2061 0.3119 1
Br8 Br 0.7411 0.7415 0.3123 1
```

Properties
- DOS(E_F): 0.706 states/eV/atom
- Energy relative to the elements, uncorrected: -860.3 meV/atom
- Total moment: 0.374 μB/atom
- Space group: P-1, No. 2


[3]
Sc6Zn3Au | PBE | relaxed

CIF file:
```
data_Sc6Zn3Au
_cell_length_a 4.6854
_cell_length_b 8.6288
_cell_length_c 10.6153
_cell_angle_alpha 108.63
_cell_angle_beta 90.00
_cell_angle_gamma 90.00
_space_group_name_H-M_alt 'P 1'
_space_group_IT_number 1
loop_
_space_group_symop_operation_xyz
'x,y,z'
loop_
_atom_site_label
_atom_site_type_symbol
_atom_site_fract_x
_atom_site_fract_y
_atom_site_fract_z
_atom_site_occupancy
Sc1 Sc 0.2500 0.4788 0.1011 1
Sc2 Sc 0.7500 0.5212 0.8989 1
Sc3 Sc 0.2500 0.1239 0.1620 1
Sc4 Sc 0.7500 0.8761 0.8380 1
Sc5 Sc 0.2500 0.6424 0.6858 1
Sc6 Sc 0.7500 0.3576 0.3142 1
Sc7 Sc 0.2500 0.2610 0.4906 1
Sc8 Sc 0.7500 0.7390 0.5094 1
Sc9 Sc 0.2500 0.8645 0.3390 1
Sc10 Sc 0.7500 0.1355 0.6610 1
Sc11 Sc 0.2500 0.1275 0.8827 1
Sc12 Sc 0.7500 0.8725 0.1173 1
Zn1 Zn 0.2500 0.5411 0.3826 1
Zn2 Zn 0.7500 0.4589 0.6173 1
Zn3 Zn 0.2500 0.3683 0.7699 1
Zn4 Zn 0.7500 0.6317 0.2301 1
Zn5 Zn 0.2500 0.7682 0.9721 1
Zn6 Zn 0.7500 0.2318 0.0279 1
Au1 Au 0.2500 0.9265 0.6275 1
Au2 Au 0.7500 0.0735 0.3725 1
```

Properties
- DOS(E_F): 0.887 states/eV/atom
- Total moment: 0.000 μB/atom
- Formation energy: -359 meV/atom
- Space group: P2_1/m, No. 11


[4]
ScSi2Pb | PBE | relaxed

CIF file:
```
data_ScSi2Pb
_cell_length_a 3.7872
_cell_length_b 4.1279
_cell_length_c 5.9357
_cell_angle_alpha 69.48
_cell_angle_beta 90.00
_cell_angle_gamma 90.00
_space_group_name_H-M_alt 'P 1'
_space_group_IT_number 1
loop_
_space_group_symop_operation_xyz
'x,y,z'
loop_
_atom_site_label
_atom_site_type_symbol
_atom_site_fract_x
_atom_site_fract_y
_atom_site_fract_z
_atom_site_occupancy
Pb1 Pb 0.0000 0.4660 0.4419 1
Sc1 Sc 0.5000 0.7554 0.8634 1
Si1 Si 0.0000 0.2090 0.9559 1
Si2 Si 0.5000 0.0696 0.2387 1
```

Properties
- DOS(E_F): 0.616 states/eV/atom
- Energy relative to the elements, uncorrected: -70.3 meV/atom
- Total moment: 0.000 μB/atom
- Space group: Pm, No. 6


[5]
CaMoPb2 | PBE | relaxed

CIF file:
```
data_CaMoPb2
_cell_length_a 4.8152
_cell_length_b 4.8239
_cell_length_c 4.4330
_cell_angle_alpha 90.00
_cell_angle_beta 90.00
_cell_angle_gamma 90.00
_space_group_name_H-M_alt 'P 1'
_space_group_IT_number 1
loop_
_space_group_symop_operation_xyz
'x,y,z'
loop_
_atom_site_label
_atom_site_type_symbol
_atom_site_fract_x
_atom_site_fract_y
_atom_site_fract_z
_atom_site_occupancy
Pb1 Pb 0.0000 0.0000 0.0000 1
Pb2 Pb 0.5000 0.5000 0.0000 1
Mo1 Mo 0.0000 0.5000 0.5000 1
Ca1 Ca 0.5000 0.0000 0.5000 1
```

Properties
- DOS(E_F): 0.645 states/eV/atom
- Total moment: 0.843 μB/atom
- Formation energy: 415 meV/atom
- Space group: P4/mmm, No. 123


[6]
Sm6ScTe8 | PBE | relaxed

CIF file:
```
data_Sm6ScTe8
_cell_length_a 8.8344
_cell_length_b 8.8344
_cell_length_c 8.8344
_cell_angle_alpha 60.00
_cell_angle_beta 60.00
_cell_angle_gamma 60.00
_space_group_name_H-M_alt 'P 1'
_space_group_IT_number 1
loop_
_space_group_symop_operation_xyz
'x,y,z'
loop_
_atom_site_label
_atom_site_type_symbol
_atom_site_fract_x
_atom_site_fract_y
_atom_site_fract_z
_atom_site_occupancy
Sm1 Sm 0.0000 0.5000 0.5000 1
Sm2 Sm 0.5000 0.0000 0.0000 1
Sm3 Sm 0.5000 0.5000 0.0000 1
Sm4 Sm 0.0000 0.0000 0.5000 1
Sm5 Sm 0.0000 0.5000 0.0000 1
Sm6 Sm 0.5000 0.0000 0.5000 1
Sc1 Sc 0.0000 0.0000 0.0000 1
Te1 Te 0.7500 0.7500 0.7500 1
Te2 Te 0.2500 0.2500 0.2500 1
Te3 Te 0.7559 0.2441 0.2441 1
Te4 Te 0.2441 0.7559 0.7559 1
Te5 Te 0.2441 0.2441 0.7559 1
Te6 Te 0.7559 0.7559 0.2441 1
Te7 Te 0.7559 0.2441 0.7559 1
Te8 Te 0.2441 0.7559 0.2441 1
```

Properties
- DOS(E_F): 0.513 states/eV/atom
- Energy relative to the elements, uncorrected: -1390.3 meV/atom
- Total moment: 0.000 μB/atom
- Space group: Fm-3m, No. 225


[7]
SrLa2Tc | PBE | relaxed

CIF file:
```
data_SrLa2Tc
_cell_length_a 5.4189
_cell_length_b 5.4189
_cell_length_c 5.4189
_cell_angle_alpha 60.00
_cell_angle_beta 60.00
_cell_angle_gamma 60.00
_space_group_name_H-M_alt 'P 1'
_space_group_IT_number 1
loop_
_space_group_symop_operation_xyz
'x,y,z'
loop_
_atom_site_label
_atom_site_type_symbol
_atom_site_fract_x
_atom_site_fract_y
_atom_site_fract_z
_atom_site_occupancy
La1 La 0.0000 0.0000 0.0000 1
La2 La 0.2500 0.2500 0.2500 1
Sr1 Sr 0.5000 0.5000 0.5000 1
Tc1 Tc 0.7500 0.7500 0.7500 1
```

Properties
- DOS(E_F): 1.067 states/eV/atom
- Total moment: 0.000 μB/atom
- Formation energy: 557 meV/atom
- Space group: F-43m, No. 216


[8]
Cs14RbSe | PBE | relaxed

CIF file:
```
data_Cs14RbSe
_cell_length_a 10.7949
_cell_length_b 10.7949
_cell_length_c 14.2451
_cell_angle_alpha 90.00
_cell_angle_beta 90.00
_cell_angle_gamma 103.16
_space_group_name_H-M_alt 'P 1'
_space_group_IT_number 1
loop_
_space_group_symop_operation_xyz
'x,y,z'
loop_
_atom_site_label
_atom_site_type_symbol
_atom_site_fract_x
_atom_site_fract_y
_atom_site_fract_z
_atom_site_occupancy
Cs1 Cs 0.1029 0.8971 0.0000 1
Cs2 Cs 0.5796 0.4204 0.0000 1
Cs3 Cs 0.1094 0.3756 0.5000 1
Cs4 Cs 0.0555 0.3784 0.0000 1
Cs5 Cs 0.6244 0.8906 0.5000 1
Cs6 Cs 0.6216 0.9445 0.0000 1
Cs7 Cs 0.4699 0.1943 0.6684 1
Cs8 Cs 0.4699 0.1943 0.3316 1
Cs9 Cs 0.8057 0.5301 0.6684 1
Cs10 Cs 0.8057 0.5301 0.3316 1
Cs11 Cs 0.3401 0.6599 0.7588 1
Cs12 Cs 0.3401 0.6599 0.2412 1
Cs13 Cs 0.8926 0.1074 0.7074 1
Cs14 Cs 0.8926 0.1074 0.2926 1
Rb1 Rb 0.1311 0.8689 0.5000 1
Se1 Se 0.7589 0.2411 0.5000 1
```

Properties
- DOS(E_F): 1.060 states/eV/atom
- Energy relative to the elements, uncorrected: -157.8 meV/atom
- Total moment: 0.000 μB/atom
- Space group: Amm2, No. 38


[9]
Ca4ZnRh4 | PBE | relaxed

CIF file:
```
data_Ca4ZnRh4
_cell_length_a 5.7429
_cell_length_b 8.4506
_cell_length_c 8.4506
_cell_angle_alpha 90.00
_cell_angle_beta 90.00
_cell_angle_gamma 90.00
_space_group_name_H-M_alt 'P 1'
_space_group_IT_number 1
loop_
_space_group_symop_operation_xyz
'x,y,z'
loop_
_atom_site_label
_atom_site_type_symbol
_atom_site_fract_x
_atom_site_fract_y
_atom_site_fract_z
_atom_site_occupancy
Ca1 Ca 0.1149 0.5380 0.1814 1
Ca2 Ca 0.1149 0.9620 0.3186 1
Ca3 Ca 0.6149 0.8186 0.0380 1
Ca4 Ca 0.6149 0.6814 0.4620 1
Ca5 Ca 0.8851 0.4620 0.8186 1
Ca6 Ca 0.8851 0.0380 0.6814 1
Ca7 Ca 0.3851 0.1814 0.9620 1
Ca8 Ca 0.3851 0.3186 0.5380 1
Zn1 Zn 0.7500 0.2500 0.2500 1
Zn2 Zn 0.2500 0.7500 0.7500 1
Rh1 Rh 0.1113 0.6307 0.5077 1
Rh2 Rh 0.1113 0.8693 0.9923 1
Rh3 Rh 0.6113 0.4923 0.1307 1
Rh4 Rh 0.6113 0.0077 0.3693 1
Rh5 Rh 0.8887 0.3693 0.4923 1
Rh6 Rh 0.8887 0.1307 0.0077 1
Rh7 Rh 0.3887 0.5077 0.8693 1
Rh8 Rh 0.3887 0.9923 0.6307 1
```

Properties
- DOS(E_F): 0.579 states/eV/atom
- Total moment: 0.000 μB/atom
- Formation energy: -248 meV/atom
- Space group: P4_2/n, No. 86


[10]
CsCdPt2 | PBE | relaxed

CIF file:
```
data_CsCdPt2
_cell_length_a 4.7317
_cell_length_b 4.7317
_cell_length_c 6.9786
_cell_angle_alpha 70.18
_cell_angle_beta 70.18
_cell_angle_gamma 60.00
_space_group_name_H-M_alt 'P 1'
_space_group_IT_number 1
loop_
_space_group_symop_operation_xyz
'x,y,z'
loop_
_atom_site_label
_atom_site_type_symbol
_atom_site_fract_x
_atom_site_fract_y
_atom_site_fract_z
_atom_site_occupancy
Cs1 Cs 0.5000 0.5000 0.5000 1
Pt1 Pt 0.3267 0.3267 0.0200 1
Pt2 Pt 0.6733 0.6733 0.9800 1
Cd1 Cd 0.0000 0.0000 0.0000 1
```

Properties
- DOS(E_F): 0.673 states/eV/atom
- Total moment: 0.000 μB/atom
- Formation energy: -215 meV/atom
- Space group: R-3m, No. 166


[11]
VCrAs2Se | PBE | relaxed

CIF file:
```
data_VCrAs2Se
_cell_length_a 4.7211
_cell_length_b 4.7211
_cell_length_c 4.7284
_cell_angle_alpha 90.00
_cell_angle_beta 90.00
_cell_angle_gamma 90.00
_space_group_name_H-M_alt 'P 1'
_space_group_IT_number 1
loop_
_space_group_symop_operation_xyz
'x,y,z'
loop_
_atom_site_label
_atom_site_type_symbol
_atom_site_fract_x
_atom_site_fract_y
_atom_site_fract_z
_atom_site_occupancy
Cr1 Cr 0.5000 0.5000 0.5000 1
As1 As 0.0000 0.5000 0.0000 1
As2 As 0.5000 0.0000 0.0000 1
Se1 Se 0.0000 0.0000 0.5000 1
V1 V 0.0000 0.0000 0.0000 1
```

Properties
- DOS(E_F): 1.831 states/eV/atom
- Energy relative to the elements, uncorrected: 888.9 meV/atom
- Total moment: 0.004 μB/atom
- Space group: P4/mmm, No. 123


no.,theoretical density (g cm⁻³)
1,8.32
2,3.88
3,5.41
4,5.89
5,8.88
6,6.70
7,6.84
8,2.08
9,5.16
10,8.48
11,5.23